(1)
YReTc3: optimized geometry, GGA-PBE.

Properties
energy above the most stable polymorph in this dataset: 1868 meV/atom
energy relative to the elements: 2.81 eV/atom
total magnetic moment: 0.00 μB per atom
final energy: -7.19 eV per atom
calculated volume: 100 Å³/f.u.

a = 4.6358 Å, b = 4.6358 Å, c = 4.6358 Å
α = 90.00°, β = 90.00°, γ = 90.00°
Space group Pm-3m (No. 221)
Inequivalent atoms, fractional coordinates:
Y 0.0000 0.0000 0.0000 (multiplicity 1)
Re 0.5000 0.5000 0.5000 (multiplicity 1)
Tc 0.0000 0.0000 0.5000 (multiplicity 3)

***

(2)
YReTc2: optimized geometry, GGA-PBE.

Properties
energy relative to the elements: 0.46 eV/atom
total magnetic moment: 0.00 μB per atom
final energy: -9.45 eV per atom
calculated volume: 68 Å³/f.u.

a = 2.8838 Å, b = 2.8838 Å, c = 28.4905 Å
α = 90.00°, β = 90.00°, γ = 120.00°
Space group R3m (No. 160, hexagonal axes)
Inequivalent atoms, fractional coordinates:
Y 0.0000 0.0000 0.0000 (multiplicity 3)
Re 0.0000 0.0000 0.2404 (multiplicity 3)
Tc 0.0000 0.0000 0.4991 (multiplicity 3)
Tc 0.0000 0.0000 0.7586 (multiplicity 3)

***

(3)
YReTc3: optimized geometry, GGA-PBE.

Properties
energy above the most stable polymorph in this dataset: 0 meV/atom
energy relative to the elements: 0.94 eV/atom
total magnetic moment: 0.00 μB per atom
final energy: -9.06 eV per atom
calculated volume: 106 Å³/f.u.

a = 4.7264 Å, b = 4.7264 Å, c = 4.7264 Å
α = 90.00°, β = 90.00°, γ = 90.00°
Space group Pm-3m (No. 221)
Inequivalent atoms, fractional coordinates:
Y 0.0000 0.0000 0.0000 (multiplicity 1)
Re 0.5000 0.5000 0.5000 (multiplicity 1)
Tc 0.0000 0.5000 0.5000 (multiplicity 3)

***

(4)
YRe2Tc2: optimized geometry, GGA-PBE.

Properties
energy above the most stable polymorph in this dataset: 0 meV/atom
energy relative to the elements: 0.06 eV/atom
total magnetic moment: 0.00 μB per atom
final energy: -10.36 eV per atom
calculated volume: 96 Å³/f.u.

a = 4.2929 Å, b = 4.2929 Å, c = 10.3890 Å
α = 90.00°, β = 90.00°, γ = 90.00°
Space group I4/mmm (No. 139)
Inequivalent atoms, fractional coordinates:
Y 0.0000 0.0000 0.0000 (multiplicity 2)
Re 0.0000 0.5000 0.2500 (multiplicity 4)
Tc 0.0000 0.0000 0.3765 (multiplicity 4)